Material: Ba2Hg2IrO6
Method: DFT, PBE-GGA
State: relaxed

Results
ΔE_f (raw)	-1.28	eV per atom

Unit cell a=6.5489 b=6.5489 c=6.0930 alpha=93.97 beta=93.97 gamma=122.44
Closest atoms and distances in Å follow each position.
Fractional positions:
Ba 0.3408 0.6592 0.5000  6 O 2.65-2.80
Ba 0.6592 0.3408 0.5000  6 O 2.65-2.80
Hg 0.8691 0.1309 0.0000  2 O 2.18
Hg 0.1309 0.8691 0.0000  2 O 2.18
Ir 0.0000 0.0000 0.5000  6 O 2.00-2.03
O 0.7653 0.7653 0.6970  1 Ir 2.03
O 0.0132 0.2686 0.6927  1 Ir 2.00, 1 Hg 2.18
O 0.2347 0.2347 0.3030  1 Ir 2.03
O 0.2686 0.0132 0.6927  1 Ir 2.00, 1 Hg 2.18
O 0.9868 0.7314 0.3073  1 Ir 2.00, 1 Hg 2.18
O 0.7314 0.9868 0.3073  1 Ir 2.00, 1 Hg 2.18